! Er2Be4GaIr3 GGA-PBE relaxed; values from VASP
! - crystal system = tetragonal
! - energy relative to the elements (eV/atom) = -0.59
&SYSTEM
  ibrav = 0, nat = 10, ntyp = 4
/
ATOMIC_SPECIES
Ga 69.72 Ga.upf
Be 9.01 Be.upf
Ir 192.22 Ir.upf
Er 167.26 Er.upf
CELL_PARAMETERS angstrom
3.8347 0.0000 0.0000
0.0000 3.8347 0.0000
0.0000 0.0000 10.0547
ATOMIC_POSITIONS crystal
Ga 0.5000 0.5000 0.5000
Be 0.5000 0.0000 0.6394
Be 0.0000 0.5000 0.3606
Be 0.5000 0.5000 0.0000
Be 0.0000 0.0000 0.0000
Ir 0.5000 0.0000 0.8719
Ir 0.0000 0.0000 0.5000
Ir 0.0000 0.5000 0.1281
Er 0.5000 0.0000 0.2418
Er 0.0000 0.5000 0.7582